(1)
# Tb2Nd3Ag2

A geometry-optimized Tb2Nd3Ag2 structure (GGA-PBE, Alexandria via LeMat-Bulk).

Its density of states at the Fermi level is 16.040 states/eV/cell. Its formation energy is 0.04 eV per atom. The spin magnetization is 0.000 μB per atom.

It has space group Cmmm (No. 65), with a = 4.8330 Å, b = 23.7006 Å, c = 3.4964 Å, α = 90.00°, β = 90.00° and γ = 90.00°. The asymmetric unit holds Tb at (0.0000, 0.2080, 0.0000), Nd at (0.0000, 0.3621, 0.5000), Nd at (0.0000, 0.5000, 0.5000) and Ag at (0.0000, 0.0704, 0.0000).

(2)
# NpOsS

A geometry-optimized NpOsS structure (GGA-PBE, Alexandria via LeMat-Bulk).

Its density of states at the Fermi level is 11.738 states/eV/cell. As for the formation energy (no corrections): -0.23 eV per atom. The spin magnetization is 0.971 μB per atom.

It has space group P4/nmm (No. 129, origin choice 2), with a = 3.2184 Å, b = 3.2184 Å, c = 11.6567 Å, α = 90.00°, β = 90.00° and γ = 90.00°. The asymmetric unit holds Np at (0.2500, 0.2500, 0.2424), Os at (0.2500, 0.2500, 0.9452) and S at (0.2500, 0.2500, 0.6321).

(3)
# Tb8Ho2In3

A geometry-optimized Tb8Ho2In3 structure (GGA-PBE, Alexandria via LeMat-Bulk).

Its density of states at the Fermi level is 42.641 states/eV/cell. Its formation energy is 0.13 eV per atom. The spin magnetization is 0.172 μB per atom.

It has space group R-3m (No. 166, hexagonal axes), with a = 6.4122 Å, b = 6.4122 Å, c = 34.8525 Å, α = 90.00°, β = 90.00° and γ = 120.00°. The asymmetric unit holds Tb at (0.0000, 0.0000, 0.2244), Tb at (0.0005, 0.5003, 0.7196), Ho at (0.0000, 0.0000, 0.1356), In at (0.0000, 0.0000, 0.3107) and In at (0.0000, 0.0000, 0.5000).

(4)
# DyTlPd4

A geometry-optimized DyTlPd4 structure (GGA-PBE, Alexandria via LeMat-Bulk).

Its density of states at the Fermi level is 10.277 states/eV/cell. Its formation energy is -0.58 eV per atom. The spin magnetization is 0.000 μB per atom.

It has space group F-43m (No. 216), with a = 7.6458 Å, b = 7.6458 Å, c = 7.6458 Å, α = 90.00°, β = 90.00° and γ = 90.00°. The asymmetric unit holds Dy at (0.0000, 0.0000, 0.0000), Tl at (0.2500, 0.2500, 0.7500) and Pd at (0.1248, 0.1248, 0.3752).

(5)
# CuAg5I4Br2

A geometry-optimized CuAg5I4Br2 structure (GGA-PBE, Alexandria via LeMat-Bulk).

As for the formation energy (no corrections): -0.22 eV per atom. The spin magnetization is 0.000 μB per atom.

It has space group Amm2 (No. 38), with a = 8.3434 Å, b = 12.8056 Å, c = 6.8616 Å, α = 90.00°, β = 90.00° and γ = 90.00°. The asymmetric unit holds Cu at (0.0000, 0.0000, 0.0000), Ag at (0.2474, 0.1958, 0.4230), Ag at (0.5000, 0.0000, 0.9200), I at (0.0000, 0.1659, 0.7784), I at (0.2536, 0.0000, 0.2182) and Br at (0.5000, 0.1761, 0.6914).

(6)
# ZrTiSi3

A geometry-optimized ZrTiSi3 structure (GGA-PBE, Alexandria via LeMat-Bulk).

Its density of states at the Fermi level is 4.703 states/eV/cell. As for the formation energy (no corrections): 0.41 eV per atom. The spin magnetization is 0.000 μB per atom.

It has space group Pm-3m (No. 221), with a = 4.5970 Å, b = 4.5970 Å, c = 4.5970 Å, α = 90.00°, β = 90.00° and γ = 90.00°. The asymmetric unit holds Zr at (0.0000, 0.0000, 0.0000), Ti at (0.5000, 0.5000, 0.5000) and Si at (0.0000, 0.5000, 0.5000).

(7)
# KYCrI2

A geometry-optimized KYCrI2 structure (GGA-PBE, Alexandria via LeMat-Bulk).

Its density of states at the Fermi level is 2.145 states/eV/cell. As for the formation energy (no corrections): 0.79 eV per atom. The spin magnetization is 1.187 μB per atom.

It has space group P4/mmm (No. 123), with a = 6.1903 Å, b = 6.1903 Å, c = 6.8039 Å, α = 90.00°, β = 90.00° and γ = 90.00°. The asymmetric unit holds K at (0.0000, 0.0000, 0.0000), Y at (0.0000, 0.0000, 0.5000), Cr at (0.5000, 0.5000, 0.5000) and I at (0.0000, 0.5000, 0.0000).

(8)
# Ca3Dy5S8

A geometry-optimized Ca3Dy5S8 structure (GGA-PBE, Alexandria via LeMat-Bulk).

Its density of states at the Fermi level is 19.697 states/eV/cell. As for the formation energy (no corrections): -2.04 eV per atom. The spin magnetization is 0.000 μB per atom.

It has space group R-3m (No. 166, hexagonal axes), with a = 7.8646 Å, b = 7.8646 Å, c = 19.4147 Å, α = 90.00°, β = 90.00° and γ = 120.00°. The asymmetric unit holds Ca at (0.0000, 0.5000, 0.0000), Dy at (0.0000, 0.0000, 0.0000), Dy at (0.0000, 0.0000, 0.5000), Dy at (0.0000, 0.5000, 0.5000), S at (0.0000, 0.0000, 0.2482) and S at (0.0015, 0.5007, 0.7508).

(9)
# Sr2Au

A geometry-optimized Sr2Au structure (GGA-PBE, Alexandria via LeMat-Bulk).

Its density of states at the Fermi level is 18.235 states/eV/cell. Its formation energy is -0.53 eV per atom. The spin magnetization is 0.000 μB per atom.

It has space group I4_1md (No. 109), with a = 8.9434 Å, b = 8.9434 Å, c = 12.6758 Å, α = 90.00°, β = 90.00° and γ = 90.00°. The asymmetric unit holds Sr at (0.0000, 0.2459, 0.0000), Sr at (0.0000, 0.2548, 0.4946) and Au at (0.0000, 0.2503, 0.2473).

(10)
# KSnHg2Au

A geometry-optimized KSnHg2Au structure (GGA-PBE, Alexandria via LeMat-Bulk).

Its density of states at the Fermi level is 3.331 states/eV/cell. Its formation energy is -0.07 eV per atom. The spin magnetization is 0.000 μB per atom.

It has space group P4/mmm (No. 123), with a = 5.7245 Å, b = 5.7245 Å, c = 5.3991 Å, α = 90.00°, β = 90.00° and γ = 90.00°. The asymmetric unit holds K at (0.0000, 0.0000, 0.0000), Sn at (0.5000, 0.5000, 0.5000), Hg at (0.0000, 0.5000, 0.5000) and Au at (0.5000, 0.5000, 0.0000).

(11)
# Al2Sb2Pd

A geometry-optimized Al2Sb2Pd structure (GGA-PBE, Alexandria via LeMat-Bulk).

Its density of states at the Fermi level is 2.609 states/eV/cell. As for the formation energy (no corrections): -0.01 eV per atom. The spin magnetization is 0.000 μB per atom.

It has space group P4/mbm (No. 127), with a = 6.8055 Å, b = 6.8055 Å, c = 4.5271 Å, α = 90.00°, β = 90.00° and γ = 90.00°. The asymmetric unit holds Al at (0.1372, 0.3628, 0.0000), Sb at (0.1893, 0.6893, 0.5000) and Pd at (0.0000, 0.0000, 0.0000).

(12)
# Sr5CeCd6

A geometry-optimized Sr5CeCd6 structure (GGA-PBE, Alexandria via LeMat-Bulk).

Its density of states at the Fermi level is 27.390 states/eV/cell. Its formation energy is -0.29 eV per atom. The spin magnetization is 0.089 μB per atom.

It has space group C2/m (No. 12), with a = 17.9910 Å, b = 7.9911 Å, c = 5.6901 Å, α = 90.00°, β = 108.41° and γ = 90.00°. The asymmetric unit holds Sr at (0.0000, 0.0000, 0.0000), Sr at (0.1636, 0.0000, 0.6634), Sr at (0.1710, 0.5000, 0.6703), Ce at (0.0000, 0.5000, 0.0000), Cd at (0.0000, 0.2728, 0.5000) and Cd at (0.1612, 0.2624, 0.1601).